Material: Nd4TmAl5
Method: DFT, PBE
State: optimized geometry

Its formation energy is -3.61 eV per formula unit. Its total moment is 0.000 μB per atom.

It has space group P4/mmm (No. 123), with a = 3.6869 Å, b = 3.6869 Å, c = 18.5423 Å, α = 90.00°, β = 90.00° and γ = 90.00°. The inequivalent atoms are Nd at (0.0000, 0.0000, 0.1022), Nd at (0.0000, 0.0000, 0.3069), Tm at (0.0000, 0.0000, 0.5000), Al at (0.5000, 0.5000, 0.0000), Al at (0.5000, 0.5000, 0.2044) and Al at (0.5000, 0.5000, 0.4118).



Material: Sc5Ga4
Method: DFT, PBE
State: optimized geometry

Its formation energy is -5.00 eV per formula unit. Its total moment is 0.000 μB per atom.

It has space group C2/m (No. 12), with a = 10.1630 Å, b = 4.2131 Å, c = 9.4069 Å, α = 90.00°, β = 113.30° and γ = 90.00°. The inequivalent atoms are Sc at (0.0000, 0.0000, 0.0000), Sc at (0.0952, 0.0000, 0.3888), Sc at (0.2453, 0.0000, 0.8245), Ga at (0.0526, 0.5000, 0.8395) and Ga at (0.1277, 0.5000, 0.6107).



Material: AlCd2Co
Method: DFT, PBE
State: optimized geometry

Its formation energy is 1.10 eV per formula unit. Its total moment is 0.246 μB per atom.

It has space group C2/m (No. 12), with a = 5.6574 Å, b = 9.7594 Å, c = 2.9083 Å, α = 90.00°, β = 120.55° and γ = 90.00°. The inequivalent atoms are Al at (0.0000, 0.0000, 0.0000), Cd at (0.2500, 0.2500, 0.5000) and Co at (0.0000, 0.5000, 0.0000).



Material: BaCd2Mo
Method: DFT, PBE
State: optimized geometry

Its formation energy is 2.54 eV per formula unit. Its total moment is 0.000 μB per atom. As for the energy relative to the lowest polymorph listed for this composition: 175.9 meV per atom.

It has space group Immm (No. 71), with a = 3.2104 Å, b = 5.4417 Å, c = 11.6770 Å, α = 90.00°, β = 90.00° and γ = 90.00°. The inequivalent atoms are Ba at (0.0000, 0.0000, 0.0000), Cd at (0.0000, 0.5000, 0.2083) and Mo at (0.0000, 0.0000, 0.5000).



Material: CoNi2HPb
Method: DFT, PBE
State: optimized geometry

Its total moment is 0.000 μB per atom.

It has space group P4/mmm (No. 123), with a = 3.8201 Å, b = 3.8201 Å, c = 3.8506 Å, α = 90.00°, β = 90.00° and γ = 90.00°. The inequivalent atoms are Co at (0.0000, 0.0000, 0.0000), Ni at (0.0000, 0.5000, 0.5000), H at (0.0000, 0.0000, 0.5000) and Pb at (0.5000, 0.5000, 0.0000).



Material: LiTmGe
Method: DFT, PBE
State: optimized geometry

Its formation energy is -1.98 eV per formula unit. Its total moment is 0.000 μB per atom.

It has space group P4/nmm (No. 129, origin choice 2), with a = 4.1122 Å, b = 4.1122 Å, c = 7.0626 Å, α = 90.00°, β = 90.00° and γ = 90.00°. The inequivalent atoms are Li at (0.2500, 0.7500, 0.0000), Tm at (0.2500, 0.2500, 0.3371) and Ge at (0.2500, 0.2500, 0.7519).



Here are the calculated total energy numbers, same order: -45.9 -48.8 -11.6 -12.0 -25.1 -13.0 (eV per formula unit).